Cd3InNi: optimized geometry, PBE.

a b c (Å): 6.7390 6.7390 6.5921
angles (deg): 106.54 115.52 107.47
Last column: nearest neighbours and their distance in Å.
Fractional coordinates of all 10 atoms:
Cd 0.8696 0.0766 0.3085  2 Ni 2.59-2.75, 1 Cd 2.89
Cd 0.2320 0.4390 0.3085  2 Ni 2.59-2.75, 1 Cd 2.89
Cd 0.7680 0.5610 0.6915  2 Ni 2.59-2.75, 1 Cd 2.89
Cd 0.6963 0.4427 0.1390  2 Ni 2.61-2.74, 1 In 2.93
Cd 0.1304 0.9234 0.6915  2 Ni 2.59-2.75, 1 Cd 2.89
Cd 0.3037 0.5573 0.8610  2 Ni 2.61-2.74, 1 In 2.93
In 0.7044 0.0759 0.7803  2 Ni 2.55-2.70
In 0.2956 0.9241 0.2197  2 Ni 2.55-2.70
Ni 0.6222 0.7617 0.3839  2 In 2.55-2.70, 6 Cd 2.59-2.75
Ni 0.3778 0.2383 0.6161  2 In 2.55-2.70, 6 Cd 2.59-2.75

Computed properties:
- Formation enthalpy at 0 K: 0.046 eV per atom
- DOS(E_F): 1.96 states/eV/f.u.
- Symmetry: C2/m, No. 12